# Be2ZnAs | the Alexandria database | PBE-GGA | optimized geometry
# Magnetic moment ... 0.00 Bohr magnetons per cell
# Crystal system ... tetragonal
# Density ... 5014 kg/m3
# ΔE_f ... 1.732 eV per formula unit
# ΔE to the lowest computed polymorph ... 0.1591 eV/atom
# DOS at the Fermi energy ... 0.86 states/eV/f.u.
data_Be2ZnAs
_symmetry_space_group_name_H-M 'I 4/m m m'
_symmetry_Int_Tables_number 139
_symmetry_space_group_name_Hall '-I 4 2'
_cell_length_a 3.752
_cell_length_b 3.752
_cell_length_c 7.452
_cell_angle_alpha 90.00
_cell_angle_beta 90.00
_cell_angle_gamma 90.00
loop_
_atom_site_label
_atom_site_type_symbol
_atom_site_fract_x
_atom_site_fract_y
_atom_site_fract_z
_atom_site_occupancy
Be1 Be 0.000 0.500 0.250 1
Zn1 Zn 0.000 0.000 0.000 1
As1 As 0.000 0.000 0.500 1